Here is a relaxed K3Cr2InF9 crystal from Alexandria. Energies are from PBE with a Hubbard U.

```
K3Cr2InF9
1.0
5.979 0.000 0.000
-2.989 5.178 0.000
0.000 0.000 8.258
K Cr In F
3 2 1 9
Cartesian
0.000 0.000 0.000
0.000 3.452 5.855
2.989 1.726 2.403
0.000 3.452 1.187
2.989 1.726 7.071
0.000 0.000 4.129
-1.495 2.589 0.000
0.000 1.805 2.289
-1.426 4.275 2.289
1.563 0.902 5.969
2.989 0.000 0.000
1.495 2.589 0.000
1.426 4.275 2.289
4.415 0.902 5.969
2.989 3.373 5.969
```

Results
**Total magnetization**: 7.00 μB per formula unit
**Final energy**: -5.10 eV/atom